## LaSmSn (PBE)

Data for a relaxed structure of LaSmSn.

Cell and atoms, written as extended XYZ:
```
6
Lattice="-3.9530 -0.6830 -5.5419 1.4510 -5.4116 -0.3680 -4.4910 1.4977 3.0188" Properties=species:S:1:pos:R:3 pbc="T T T"
La -1.5186 -3.2784 -0.6242
La -5.4744 -1.3184 -2.2670
Sm -1.9765 -0.3415 -2.7710
Sm 0.0000 0.0000 0.0000
Sn -3.5005 -0.9739 0.5055
Sn -3.4925 -3.6230 -3.3966
```

* volume: 186.91 Å³/cell
* E above lowest polymorph: 73 meV/atom
* formation energy from the elements: -53 kJ/mol of atoms
* SG: P6_3/mmc